{"formula": "AcLuAl4", "functional": "GGA-PBE", "state": "optimized geometry", "e_form_ev_per_fu": -2.11, "spacegroup": "F-43m, No. 216", "dft_energy_ev_per_atom": -4.284, "rho_g_cm3": 6.4, "lattice_angstrom": [[-5.513, -0.268, 1.513], [-1.427, -1.152, 5.421], [-2.265, 4.095, 3.295]], "species": ["Ac", "Al", "Al", "Lu", "Al", "Al"], "fractional_positions": [[0.250, 0.250, 0.250], [0.625, 0.625, 0.625], [0.625, 0.625, 0.124], [0.000, 0.000, 0.000], [0.124, 0.625, 0.625], [0.625, 0.124, 0.625]]}

***

{"formula": "BeRe2Au", "functional": "GGA-PBE", "state": "optimized geometry", "e_form_ev_per_fu": 2.65, "spacegroup": "I-42d, No. 122", "dft_energy_ev_per_atom": -7.313, "rho_g_cm3": 15.3, "lattice_angstrom": [[-1.089, 0.040, -3.495], [2.900, -2.032, -0.927], [-4.099, -8.810, -0.742]], "species": ["Au", "Re", "Re", "Re", "Re", "Au", "Be", "Be"], "fractional_positions": [[0.750, 0.250, 0.500], [0.589, 0.125, 0.250], [0.875, 0.839, 0.750], [0.375, 0.411, 0.750], [0.161, 0.625, 0.250], [0.000, 0.000, 0.000], [0.500, 0.500, 0.000], [0.250, 0.750, 0.500]]}

***

{"formula": "Pm3Cu8Pt", "functional": "GGA-PBE", "state": "optimized geometry", "e_form_ev_per_fu": -2.62, "spacegroup": "R3m, No. 160", "dft_energy_ev_per_atom": -4.640, "rho_g_cm3": 9.5, "lattice_angstrom": [[5.168, 0.000, 0.000], [2.584, 4.475, 0.000], [2.584, 1.492, 8.637]], "species": ["Pt", "Cu", "Cu", "Cu", "Cu", "Pm", "Pm", "Pm", "Cu", "Cu", "Cu", "Cu"], "fractional_positions": [[0.870, 0.870, 0.390], [0.432, 0.944, 0.192], [0.939, 0.939, 0.680], [0.944, 0.432, 0.192], [0.188, 0.188, 0.436], [0.509, 0.509, 0.473], [0.988, 0.988, 0.036], [0.380, 0.380, 0.861], [0.939, 0.442, 0.680], [0.687, 0.687, 0.939], [0.442, 0.939, 0.680], [0.432, 0.432, 0.192]]}

***

{"formula": "NaMnBe3", "functional": "GGA-PBE", "state": "optimized geometry", "e_form_ev_per_fu": 8.96, "spacegroup": "Pm-3m, No. 221", "dft_energy_ev_per_atom": -2.542, "polymorph_energy_mev_per_atom": 894, "rho_g_cm3": 2.4, "lattice_angstrom": [[-1.774, 3.045, -2.236], [-2.405, -2.815, -1.925], [-2.913, 0.470, 2.952]], "species": ["Be", "Na", "Be", "Mn", "Be"], "fractional_positions": [[0.000, 0.500, 0.000], [0.000, 0.000, 0.000], [0.000, 0.000, 0.500], [0.500, 0.500, 0.500], [0.500, 0.000, 0.000]]}

***

{"formula": "BiSe", "functional": "GGA-PBE", "state": "optimized geometry", "spacegroup": "Pm-3n, No. 223", "dft_energy_ev_per_atom": -3.521, "polymorph_energy_mev_per_atom": 485, "raw_formation_energy_mev_per_atom": 161, "rho_g_cm3": 4.9, "lattice_angstrom": [[8.369, 0.000, 0.000], [0.000, 8.369, 0.000], [0.000, 0.000, 8.369]], "species": ["Bi", "Bi", "Se", "Bi", "Se", "Bi", "Se", "Bi", "Bi", "Se", "Se", "Se"], "fractional_positions": [[0.000, 0.500, 0.750], [0.000, 0.500, 0.250], [0.000, 0.750, 0.500], [0.500, 0.250, 0.000], [0.250, 0.500, 0.000], [0.250, 0.000, 0.500], [0.500, 0.000, 0.250], [0.750, 0.000, 0.500], [0.500, 0.750, 0.000], [0.500, 0.000, 0.750], [0.750, 0.500, 0.000], [0.000, 0.250, 0.500]]}

***

{"formula": "Tb6TmIn5", "functional": "GGA-PBE", "state": "optimized geometry", "e_form_ev_per_fu": -3.09, "spacegroup": "C2/m, No. 12", "dft_energy_ev_per_atom": -4.086, "polymorph_energy_mev_per_atom": 132, "rho_g_cm3": 8.1, "lattice_angstrom": [[-2.930, 4.333, -3.304], [-1.699, -4.797, -9.070], [-5.736, -4.256, -2.637]], "species": ["Tb", "In", "Tb", "Tb", "Tb", "In", "In", "In", "Tb", "Tm", "In", "Tb"], "fractional_positions": [[0.223, 0.276, 0.000], [0.000, 0.299, 0.401], [0.265, 0.905, 0.646], [0.735, 0.449, 0.646], [0.265, 0.551, 0.354], [0.500, 0.138, 0.724], [0.500, 0.862, 0.276], [0.500, 0.500, 0.000], [0.735, 0.095, 0.354], [0.000, 0.000, 0.000], [0.000, 0.701, 0.599], [0.777, 0.724, 0.000]]}

***

{"formula": "BaCu2Te2Cl2O6", "functional": "GGA-PBE", "state": "optimized geometry", "spacegroup": "P2_1, No. 4", "dft_energy_ev_per_atom": -5.061, "raw_formation_energy_mev_per_atom": -1227, "rho_g_cm3": 4.8, "lattice_angstrom": [[7.653, 0.000, 0.000], [0.000, 7.556, 0.002], [0.000, 1.079, 8.275]], "species": ["Te", "Te", "Ba", "O", "O", "Cu", "Cu", "Cl", "Cl", "O", "O", "Cu", "O", "Ba", "O", "O", "Te", "Cu", "O", "Cl", "O", "O", "Te", "O", "Cl", "O"], "fractional_positions": [[0.525, 0.864, 0.395], [0.812, 0.662, 0.767], [0.164, 0.864, 0.061], [0.045, 0.158, 0.831], [0.780, 0.181, 0.603], [0.658, 0.638, 0.087], [0.158, 0.362, 0.913], [0.878, 0.541, 0.389], [0.926, 0.109, 0.239], [0.722, 0.479, 0.929], [0.324, 0.201, 0.053], [0.685, 0.306, 0.403], [0.544, 0.442, 0.230], [0.664, 0.136, 0.939], [0.545, 0.842, 0.169], [0.280, 0.819, 0.397], [0.312, 0.338, 0.233], [0.185, 0.694, 0.597], [0.006, 0.880, 0.634], [0.378, 0.459, 0.611], [0.824, 0.799, 0.947], [0.222, 0.521, 0.071], [0.025, 0.136, 0.605], [0.506, 0.120, 0.366], [0.426, 0.891, 0.761], [0.044, 0.558, 0.770]]}

***

{"formula": "CdHg3Pb3", "functional": "GGA-PBE", "state": "optimized geometry", "e_form_ev_per_fu": 2.57, "spacegroup": "Pm-3n, No. 223", "dft_energy_ev_per_atom": -1.482, "polymorph_energy_mev_per_atom": 308, "rho_g_cm3": 7.7, "lattice_angstrom": [[-6.646, 4.913, -1.098], [-4.783, -5.595, 3.915], [1.570, 3.750, 7.279]], "species": ["Cd", "Hg", "Hg", "Pb", "Hg", "Pb", "Hg", "Hg", "Hg", "Pb", "Pb", "Pb", "Pb", "Cd"], "fractional_positions": [[0.500, 0.500, 0.500], [0.000, 0.500, 0.250], [0.500, 0.750, 0.000], [0.000, 0.250, 0.500], [0.250, 0.000, 0.500], [0.500, 0.000, 0.750], [0.000, 0.500, 0.750], [0.750, 0.000, 0.500], [0.500, 0.250, 0.000], [0.000, 0.750, 0.500], [0.500, 0.000, 0.250], [0.750, 0.500, 0.000], [0.250, 0.500, 0.000], [0.000, 0.000, 0.000]]}

***

{"formula": "PrEr5Tm12", "functional": "GGA-PBE", "state": "optimized geometry", "e_form_ev_per_fu": 0.01, "spacegroup": "C2/m, No. 12", "dft_energy_ev_per_atom": -4.513, "rho_g_cm3": 9.1, "lattice_angstrom": [[-5.773, 0.941, -1.813], [-2.756, -4.052, -3.668], [-7.553, -8.105, 12.918]], "species": ["Tm", "Tm", "Pr", "Tm", "Tm", "Tm", "Tm", "Er", "Tm", "Tm", "Er", "Er", "Tm", "Er", "Tm", "Tm", "Er", "Tm"], "fractional_positions": [[0.721, 0.335, 0.831], [0.556, 0.667, 0.333], [0.000, 0.000, 0.000], [0.111, 0.000, 0.667], [0.609, 0.000, 0.169], [0.444, 0.333, 0.667], [0.944, 0.335, 0.169], [0.333, 0.333, 0.000], [0.889, 0.000, 0.333], [0.778, 0.667, 0.667], [0.834, 0.333, 0.500], [0.166, 0.667, 0.500], [0.056, 0.665, 0.831], [0.500, 0.000, 0.500], [0.279, 0.665, 0.169], [0.222, 0.333, 0.333], [0.667, 0.667, 0.000], [0.391, 0.000, 0.831]]}

***

{"formula": "Ge2IrO2", "functional": "GGA-PBE", "state": "optimized geometry", "spacegroup": "I4/mmm, No. 139", "dft_energy_ev_per_atom": -5.922, "polymorph_energy_mev_per_atom": 19, "raw_formation_energy_mev_per_atom": -320, "rho_g_cm3": 9.9, "lattice_angstrom": [[-0.221, -2.221, -2.415], [2.297, -1.833, 1.476], [-3.040, -4.790, 2.445]], "species": ["Ge", "Ir", "O", "O", "Ge"], "fractional_positions": [[0.353, 0.353, 0.295], [0.000, 0.000, 0.000], [0.250, 0.750, 0.500], [0.750, 0.250, 0.500], [0.647, 0.647, 0.705]]}

***

{"formula": "BaZn2BC", "functional": "GGA-PBE", "state": "optimized geometry", "e_form_ev_per_fu": 12.42, "spacegroup": "P4/mmm, No. 123", "dft_energy_ev_per_atom": -1.590, "rho_g_cm3": 2.4, "lattice_angstrom": [[-1.248, 3.559, -5.153], [-2.523, -3.668, -1.923], [-5.309, 2.186, 2.795]], "species": ["B", "Zn", "C", "Zn", "Ba"], "fractional_positions": [[0.500, 0.500, 0.500], [0.500, 0.000, 0.000], [0.000, 0.500, 0.000], [0.000, 0.000, 0.500], [0.000, 0.000, 0.000]]}

***

{"formula": "Cd6In2Pb", "functional": "GGA-PBE", "state": "optimized geometry", "e_form_ev_per_fu": 0.54, "spacegroup": "C2/m, No. 12", "dft_energy_ev_per_atom": -1.570, "polymorph_energy_mev_per_atom": 4, "rho_g_cm3": 7.9, "lattice_angstrom": [[3.000, -0.333, -0.692], [-0.093, 9.167, -4.810], [-2.278, -0.850, 9.566]], "species": ["Cd", "Pb", "Cd", "Cd", "Cd", "Cd", "In", "Cd", "In"], "fractional_positions": [[0.457, 0.374, 0.313], [0.000, 0.000, 0.000], [0.543, 0.060, 0.687], [0.457, 0.940, 0.313], [0.500, 0.646, 0.000], [0.543, 0.626, 0.687], [0.073, 0.698, 0.397], [0.500, 0.354, 0.000], [0.927, 0.302, 0.603]]}